{
  "formula": "LiCuPt2",
  "functional": "GGA-PBEsol",
  "state": "optimized geometry",
  "lattice_angstrom": [[3.6129, 0.0000, 0.0000], [0.0000, 3.8147, 0.0000], [0.0000, 0.0000, 3.8147]],
  "species": ["Pt", "Pt", "Cu", "Li"],
  "frac_coords": [[0.0000, 0.0000, 0.5000], [0.0000, 0.5000, 0.0000], [0.5000, 0.5000, 0.5000], [0.5000, 0.0000, 0.0000]],
  "total_energy_ry_per_atom": -0.39413,
  "ef_kj_per_mol_fu": -118,
  "dos_ef_per_ev_atom": 0.99
}

***

{
  "formula": "LiCuPt",
  "functional": "GGA-PBEsol",
  "state": "optimized geometry",
  "lattice_angstrom": [[2.6099, 0.0000, 0.0000], [0.0000, 4.0888, 0.0000], [0.0000, -2.0444, 3.5410]],
  "species": ["Pt", "Cu", "Li"],
  "frac_coords": [[0.3410, 0.6667, 0.3333], [0.8708, 0.0000, 0.0000], [0.7882, 0.3333, 0.6667]],
  "total_energy_ry_per_atom": -0.34540,
  "ef_kj_per_mol_fu": -80,
  "dos_ef_per_ev_atom": 0.38
}

***

{
  "formula": "LiCuPt2",
  "functional": "GGA-PBEsol",
  "state": "optimized geometry",
  "lattice_angstrom": [[3.8306, 0.0000, 0.0000], [0.0000, 3.8306, 0.0000], [-1.9153, -1.9153, 3.5859]],
  "species": ["Pt", "Pt", "Cu", "Li"],
  "frac_coords": [[0.7500, 0.2500, 0.5000], [0.2500, 0.7500, 0.5000], [0.5000, 0.5000, 0.0000], [0.0000, 0.0000, 0.0000]],
  "total_energy_ry_per_atom": -0.39204,
  "ef_kj_per_mol_fu": -107,
  "dos_ef_per_ev_atom": 0.90
}

***

{
  "formula": "LiCuPt3",
  "functional": "GGA-PBEsol",
  "state": "optimized geometry",
  "lattice_angstrom": [[4.5353, 0.0000, 0.0000], [0.0000, 4.5353, 0.0000], [0.0000, 0.0000, 4.5353]],
  "species": ["Cu", "Pt", "Pt", "Pt", "Li"],
  "frac_coords": [[0.0000, 0.0000, 0.0000], [0.0000, 0.5000, 0.0000], [0.0000, 0.0000, 0.5000], [0.5000, 0.0000, 0.0000], [0.5000, 0.5000, 0.5000]],
  "total_energy_ry_per_atom": -0.33998,
  "ef_kj_per_mol_fu": 392,
  "dos_ef_per_ev_atom": 0.81
}

***

{
  "formula": "LiCuPt2",
  "functional": "GGA-PBEsol",
  "state": "optimized geometry",
  "lattice_angstrom": [[-0.4402, 2.2734, -1.3337], [-1.3923, -2.6650, -3.6595], [-3.1095, 0.2792, 3.9675]],
  "species": ["Pt", "Pt", "Cu", "Li"],
  "frac_coords": [[0.0000, 0.0000, 0.5000], [0.5000, 0.5000, 0.5000], [0.5000, 0.0000, 0.0000], [0.0000, 0.5000, 0.0000]],
  "total_energy_ry_per_atom": -0.39486,
  "ef_kj_per_mol_fu": -122,
  "dos_ef_per_ev_atom": 0.39
}

***

{
  "formula": "LiCuPt2",
  "functional": "GGA-PBEsol",
  "state": "optimized geometry",
  "lattice_angstrom": [[2.6602, -0.0088, 0.0000], [-1.2414, 2.3527, 0.0000], [0.0000, 0.0000, 8.7174]],
  "species": ["Pt", "Pt", "Cu", "Li"],
  "frac_coords": [[0.0000, 0.0000, 0.2489], [0.0000, 0.0000, 0.7511], [0.5000, 0.5000, 0.5000], [0.5000, 0.5000, 0.0000]],
  "total_energy_ry_per_atom": -0.39276,
  "ef_kj_per_mol_fu": -111,
  "dos_ef_per_ev_atom": 0.30
}

***

{
  "formula": "LiCuPt2",
  "functional": "GGA-PBEsol",
  "state": "optimized geometry",
  "lattice_angstrom": [[-2.4434, 0.0547, 1.6381], [1.4769, -1.2017, 2.2431], [1.4235, 5.3774, 1.9436]],
  "species": ["Cu", "Li", "Pt", "Pt"],
  "frac_coords": [[0.5000, 0.5000, 0.0000], [0.5000, 0.5000, 0.5000], [0.0000, 0.0000, 0.7427], [0.0000, 0.0000, 0.2573]],
  "total_energy_ry_per_atom": -0.38913,
  "ef_kj_per_mol_fu": -92,
  "dos_ef_per_ev_atom": 0.88
}

***

{
  "formula": "LiCuPt2",
  "functional": "GGA-PBEsol",
  "state": "optimized geometry",
  "lattice_angstrom": [[-0.2639, -1.8556, 1.9517], [4.3746, 0.2694, 0.8476], [-1.4323, 4.0838, 1.8131]],
  "species": ["Pt", "Pt", "Cu", "Li"],
  "frac_coords": [[0.9961, 0.0058, 0.9922], [0.2495, 0.7414, 0.4990], [0.5050, 0.5046, 0.0099], [0.7494, 0.2482, 0.4989]],
  "total_energy_ry_per_atom": -0.39147,
  "ef_kj_per_mol_fu": -104,
  "dos_ef_per_ev_atom": 0.76
}